# 1
The following is a PBE calculation of a relaxed structure of TmCo2C, from Alexandria.

Computed properties:
- symmetry = No. 166
- DFT formation energy (eV per formula unit) = 0.6

Unit cell a=3.4653 b=3.4653 c=5.3436 alpha=71.08 beta=71.08 gamma=60.00
Closest atoms and distances in Å follow each position.
Fractional positions:
C  0.0000  0.0000  0.0000  6 Co 2.07
Tm  0.5000  0.5000  0.5000  8 Co 2.79-3.00
Co  0.7020  0.7020  0.8939  3 C 2.07, 3 Co 2.26
Co  0.2980  0.2980  0.1061  3 C 2.07, 3 Co 2.26

# 2
The following is a PBE calculation of a relaxed structure of MoC, from Alexandria.

Computed properties:
- symmetry = No. 221
- DFT formation energy (eV per formula unit) = 1.4

Unit cell a=4.2164 b=4.2164 c=4.2164 alpha=90.00 beta=90.00 gamma=90.00
Closest atoms and distances in Å follow each position.
Fractional positions:
Mo  0.0000  0.5000  0.0000  4 C 2.11
Mo  0.0000  0.0000  0.5000  4 C 2.11
Mo  0.5000  0.0000  0.0000  4 C 2.11
C  0.5000  0.0000  0.5000  4 Mo 2.11
C  0.5000  0.5000  0.0000  4 Mo 2.11
C  0.0000  0.5000  0.5000  4 Mo 2.11

# 3
The following is a PBE calculation of a relaxed structure of MgNbAlCu2, from Alexandria.

Computed properties:
- symmetry = No. 123
- DFT formation energy (eV per formula unit) = 5.3

Unit cell a=4.7731 b=5.0114 c=4.7731 alpha=90.00 beta=90.00 gamma=90.00
Closest atoms and distances in Å follow each position.
Fractional positions:
Mg  0.5000  0.5000  0.5000  4 Al 3.38, 8 Cu 3.46
Nb  0.0000  0.0000  0.0000  4 Cu 2.39, 2 Al 2.51
Al  0.0000  0.5000  0.0000  2 Nb 2.51
Cu  0.0000  0.0000  0.5000  2 Nb 2.39
Cu  0.5000  0.0000  0.0000  2 Nb 2.39

# 4
The following is a PBE calculation of a relaxed structure of Rb6Cu3F14, from Alexandria.

Computed properties:
- raw formation energy (kJ per mole of atoms) = -205.4
- symmetry = No. 143

Unit cell a=5.9071 b=9.7002 c=9.7002 alpha=120.00 beta=90.00 gamma=90.00
Closest atoms and distances in Å follow each position.
Fractional positions:
Rb  0.2653  0.7807  0.0677  7 F 2.77-2.92
Rb  0.2653  0.9323  0.7131  7 F 2.77-2.92
Rb  0.2653  0.2869  0.2193  7 F 2.77-2.92
Rb  0.7999  0.5469  0.5669  7 F 2.78-3.07
Rb  0.7999  0.4331  0.9800  7 F 2.78-3.07
Rb  0.7999  0.0200  0.4531  7 F 2.78-3.07
Cu  0.8059  0.0000  0.0000  4 F 1.88-1.89
Cu  0.3491  0.3333  0.6667  4 F 1.87-1.89
Cu  0.4473  0.6667  0.3333  6 F 1.94-1.95
F  0.9513  0.0492  0.1920  1 Cu 1.88
F  0.9513  0.8080  0.8572  1 Cu 1.88
F  0.9513  0.1428  0.9508  1 Cu 1.88
F  0.4924  0.2656  0.4709  1 Cu 1.87
F  0.4924  0.5291  0.7947  1 Cu 1.87
F  0.4924  0.2053  0.7344  1 Cu 1.87
F  0.4867  0.0000  0.0000  1 Cu 1.89
F  0.0297  0.3333  0.6667  1 Cu 1.89
F  0.6368  0.7289  0.2097  1 Cu 1.94
F  0.6368  0.7903  0.5192  1 Cu 1.94
F  0.6368  0.4808  0.2711  1 Cu 1.94
F  0.2624  0.6077  0.4618  1 Cu 1.95
F  0.2624  0.5382  0.1459  1 Cu 1.95
F  0.2624  0.8541  0.3923  1 Cu 1.95